# LaWO2 PBE with a Hubbard U optimized geometry
# * electronic total energy: -6.450 eV/atom
# * D(E_F): 22.92 states/eV per cell
data_LaWO2
_chemical_formula_sum 'La4 W4 O8'
_symmetry_space_group_name_H-M 'F m -3 m'
_symmetry_Int_Tables_number 225
_symmetry_space_group_name_Hall '-F 4 2 3'
_cell_length_a 6.132
_cell_length_b 6.132
_cell_length_c 6.132
_cell_angle_alpha 90.00
_cell_angle_beta 90.00
_cell_angle_gamma 90.00
loop_
_atom_site_label
_atom_site_type_symbol
_atom_site_fract_x
_atom_site_fract_y
_atom_site_fract_z
_atom_site_occupancy
La1 La 0.000 0.000 0.000 1
W1 W 0.000 0.000 0.500 1
O1 O 0.250 0.250 0.250 1